(1)
The following is a DFT calculation (PBE-GGA) of crystalline HoScH4 at its relaxed geometry.

The total energy is -4.7352 eV/atom.

a = 4.9414 Å, b = 4.9414 Å, c = 6.0863 Å
α = 113.95°, β = 113.95°, γ = 90.00°
Element x y z (fractional)
H1 0.8750 0.3588 0.2500
H2 0.1088 0.1250 0.7500
H3 0.8750 0.8912 0.2500
H4 0.1088 0.6250 0.7500
H5 0.6412 0.1250 0.7500
H6 0.3750 0.3588 0.2500
H7 0.6412 0.6250 0.7500
H8 0.3750 0.8912 0.2500
Ho1 0.5000 0.5000 0.0000
Ho2 0.2500 0.7500 0.5000
Sc1 0.7500 0.2500 0.5000
Sc2 0.0000 0.0000 0.0000

(2)
The following is a DFT calculation (PBE-GGA) of crystalline HoScH at its relaxed geometry.

Its energy above the lowest structure with this stoichiometry is 6 meV/atom. The total energy is -5.0622 eV/atom.

a = 5.1875 Å, b = 6.1481 Å, c = 7.0816 Å
α = 90.00°, β = 90.00°, γ = 90.00°
Element x y z (fractional)
H1 0.2500 0.0946 0.1286
H2 0.2500 0.5946 0.3714
H3 0.7500 0.9054 0.8714
H4 0.7500 0.4054 0.6286
Sc1 0.2500 0.4287 0.1200
Sc2 0.7500 0.0713 0.6200
Sc3 0.2500 0.9287 0.3800
Sc4 0.7500 0.5713 0.8800
Ho1 0.2500 0.9009 0.8691
Ho2 0.7500 0.0991 0.1309
Ho3 0.2500 0.4009 0.6309
Ho4 0.7500 0.5991 0.3691

(3)
The following is a DFT calculation (PBE-GGA) of crystalline HoScH at its relaxed geometry.

Its energy above the lowest structure with this stoichiometry is 0 meV/atom. The total energy is -5.0686 eV/atom.

a = 5.4615 Å, b = 6.0083 Å, c = 7.0329 Å
α = 90.00°, β = 90.00°, γ = 90.00°
Element x y z (fractional)
H1 0.0026 0.5927 0.8895
H2 0.0026 0.0927 0.1105
H3 0.5026 0.9073 0.8895
H4 0.5026 0.4073 0.1105
Sc1 0.1219 0.9116 0.8856
Sc2 0.6219 0.0884 0.1144
Sc3 0.1219 0.4116 0.1144
Sc4 0.6219 0.5884 0.8856
Ho1 0.1045 0.4217 0.6322
Ho2 0.1045 0.9217 0.3678
Ho3 0.6045 0.5783 0.3678
Ho4 0.6045 0.0783 0.6322

(4)
The following is a DFT calculation (PBE-GGA) of crystalline Ho2ScH at its relaxed geometry.

Its energy above the lowest structure with this stoichiometry is 0 meV/atom. The total energy is -4.8697 eV/atom.

a = 3.5167 Å, b = 3.5167 Å, c = 8.3686 Å
α = 77.87°, β = 77.87°, γ = 60.00°
Element x y z (fractional)
Ho1 0.2767 0.2767 0.1700
Ho2 0.7233 0.7233 0.8300
Sc1 0.5000 0.5000 0.5000
H1 0.0000 0.0000 0.0000

(5)
The following is a DFT calculation (PBE-GGA) of crystalline HoSc2H at its relaxed geometry.

Its energy above the lowest structure with this stoichiometry is 0 meV/atom. The total energy is -5.3396 eV/atom.

a = 3.3647 Å, b = 3.3647 Å, c = 8.2648 Å
α = 78.25°, β = 78.25°, γ = 60.00°
Element x y z (fractional)
Sc1 0.7180 0.7180 0.8461
Sc2 0.2820 0.2820 0.1539
Ho1 0.5000 0.5000 0.5000
H1 0.0000 0.0000 0.0000

(6)
The following is a DFT calculation (PBE-GGA) of crystalline Ho3Sc5H12 at its relaxed geometry.

The total energy is -4.7725 eV/atom.

a = 10.6942 Å, b = 10.6942 Å, c = 10.6942 Å
α = 109.47°, β = 109.47°, γ = 109.47°
Each line ends with the local moment (μB).
Element x y z (fractional)
H1 0.7171 0.1423 0.0549  0.00
H2 0.5549 0.3379 0.9126  0.00
H3 0.5874 0.6423 0.4253  0.00
H4 0.3379 0.7829 0.4253  0.00
H5 0.0747 0.1621 0.2171  0.00
H6 0.7829 0.3379 0.9253  0.00
H7 0.1423 0.7171 0.5549  0.00
H8 0.2171 0.5549 0.6423  0.00
H9 0.4253 0.1423 0.5874  0.00
H10 0.9126 0.0747 0.8577  0.00
H11 0.4253 0.2829 0.3379  0.00
H12 0.5747 0.8577 0.4126  0.00
H13 0.8379 0.9253 0.2829  0.00
H14 0.9253 0.8379 0.7829  0.00
H15 0.1621 0.0874 0.9451  0.00
H16 0.5549 0.2171 0.1423  0.00
H17 0.5874 0.9451 0.6621  0.00
H18 0.1423 0.4253 0.0874  0.00
H19 0.2829 0.8577 0.9451  0.00
H20 0.1621 0.0747 0.7171  0.00
H21 0.2171 0.6621 0.0747  0.00
H22 0.0549 0.6423 0.7171  0.00
H23 0.4451 0.7829 0.8577  0.00
H24 0.2829 0.4253 0.8379  0.00
H25 0.6423 0.5874 0.9253  0.00
H26 0.0874 0.1621 0.4451  0.00
H27 0.0874 0.9253 0.1423  0.00
H28 0.3577 0.4126 0.0747  0.00
H29 0.4451 0.6621 0.0874  0.00
H30 0.7171 0.5747 0.1621  0.00
H31 0.9451 0.5874 0.1621  0.00
H32 0.5747 0.7171 0.6621  0.00
H33 0.0549 0.4126 0.8379  0.00
H34 0.8577 0.5747 0.9126  0.00
H35 0.0747 0.9126 0.3577  0.00
H36 0.9253 0.0874 0.6423  0.00
H37 0.8577 0.2829 0.4451  0.00
H38 0.9126 0.8379 0.5549  0.00
H39 0.6423 0.0549 0.2171  0.00
H40 0.6621 0.4451 0.5874  0.00
H41 0.4126 0.0549 0.3379  0.00
H42 0.7829 0.4451 0.3577  0.00
H43 0.8379 0.9126 0.0549  0.00
H44 0.3577 0.9451 0.7829  0.00
H45 0.3379 0.5549 0.4126  0.00
H46 0.9451 0.3577 0.2829  0.00
H47 0.4126 0.3577 0.5747  0.00
H48 0.6621 0.2171 0.5747  0.00
Ho1 0.3750 0.7500 0.6250  0.07
Ho2 0.1250 0.8750 0.7500  0.07
Ho3 0.1250 0.2500 0.8750  0.07
Ho4 0.2500 0.6250 0.8750  0.07
Ho5 0.3750 0.6250 0.2500  0.07
Ho6 0.7500 0.3750 0.1250  0.07
Ho7 0.2500 0.1250 0.3750  0.07
Ho8 0.7500 0.8750 0.6250  0.07
Ho9 0.6250 0.3750 0.7500  0.07
Ho10 0.8750 0.7500 0.1250  0.07
Ho11 0.6250 0.2500 0.3750  0.07
Ho12 0.8750 0.1250 0.2500  0.07
Sc1 0.7500 0.1250 0.8750  0.11
Sc2 0.8750 0.6250 0.7500  0.11
Sc3 0.0000 0.5000 0.0000  0.03
Sc4 0.7500 0.6250 0.3750  0.11
Sc5 0.5000 0.5000 0.0000  0.03
Sc6 0.8750 0.2500 0.6250  0.11
Sc7 0.1250 0.3750 0.2500  0.11
Sc8 0.0000 0.0000 0.5000  0.03
Sc9 0.0000 0.0000 0.0000  0.03
Sc10 0.2500 0.8750 0.1250  0.11
Sc11 0.6250 0.7500 0.8750  0.11
Sc12 0.5000 0.0000 0.5000  0.03
Sc13 0.0000 0.5000 0.5000  0.03
Sc14 0.5000 0.0000 0.0000  0.03
Sc15 0.2500 0.3750 0.6250  0.11
Sc16 0.6250 0.8750 0.2500  0.11
Sc17 0.3750 0.2500 0.1250  0.11
Sc18 0.5000 0.5000 0.5000  0.03
Sc19 0.3750 0.1250 0.7500  0.11
Sc20 0.1250 0.7500 0.3750  0.11

(7)
The following is a DFT calculation (PBE-GGA) of crystalline HoSc2H7 at its relaxed geometry.

The total energy is -4.7092 eV/atom.

a = 3.4319 Å, b = 3.4319 Å, c = 7.7502 Å
α = 102.79°, β = 102.79°, γ = 90.00°
Element x y z (fractional)
H1 0.9049 0.4049 0.8098
H2 0.5000 0.5000 0.0000
H3 0.0951 0.5951 0.1902
H4 0.7500 0.2500 0.5000
H5 0.4049 0.9049 0.8098
H6 0.5951 0.0951 0.1902
H7 0.2500 0.7500 0.5000
Sc1 0.3294 0.3294 0.6589
Sc2 0.6706 0.6706 0.3411
Ho1 0.0000 0.0000 0.0000

(8)
The following is a DFT calculation (PBE-GGA) of crystalline Ho2ScH4 at its relaxed geometry.

The total energy is -4.4441 eV/atom.

a = 3.7591 Å, b = 3.7591 Å, c = 6.8763 Å
α = 74.14°, β = 74.14°, γ = 90.00°
Element x y z (fractional)
H1 0.8380 0.8380 0.3240
H2 0.5000 0.0000 0.0000
H3 0.1620 0.1620 0.6760
H4 0.0000 0.5000 0.0000
Ho1 0.3370 0.3370 0.3260
Ho2 0.6630 0.6630 0.6740
Sc1 0.0000 0.0000 0.0000

What did the seventh record say?
The following is a DFT calculation (PBE-GGA) of crystalline HoSc2H7 at its relaxed geometry.

The total energy is -4.7092 eV/atom.

a = 3.4319 Å, b = 3.4319 Å, c = 7.7502 Å
α = 102.79°, β = 102.79°, γ = 90.00°
Element x y z (fractional)
H1 0.9049 0.4049 0.8098
H2 0.5000 0.5000 0.0000
H3 0.0951 0.5951 0.1902
H4 0.7500 0.2500 0.5000
H5 0.4049 0.9049 0.8098
H6 0.5951 0.0951 0.1902
H7 0.2500 0.7500 0.5000
Sc1 0.3294 0.3294 0.6589
Sc2 0.6706 0.6706 0.3411
Ho1 0.0000 0.0000 0.0000